No. 1
DFT (GGA-PBEsol) results for an optimized crystal structure of NdGe2Pt2.

Cell: 4.328 4.328 9.943 Å, 90.00 90.00 90.00°
Atoms (fractional coordinates):
Nd: 0.000 0.500 0.253
Nd: 0.500 0.000 0.747
Ge: 0.500 0.000 0.131
Ge: 0.500 0.500 0.500
Ge: 0.000 0.000 0.500
Ge: 0.000 0.500 0.869
Pt: 0.000 0.500 0.624
Pt: 0.000 0.000 0.000
Pt: 0.500 0.000 0.376
Pt: 0.500 0.500 0.000

Space-group type   No. 129



No. 2
DFT (GGA-PBEsol) results for an optimized crystal structure of NdGePt.

Cell: 4.357 5.699 5.770 Å, 77.72 67.82 67.53°
Atoms (fractional coordinates):
Ge: 0.838 0.235 0.089
Ge: 0.162 0.765 0.911
Nd: 0.552 0.211 0.685
Nd: 0.448 0.789 0.315
Pt: 0.823 0.634 0.720
Pt: 0.177 0.366 0.280

Space-group type   No. 12



No. 3
DFT (GGA-PBEsol) results for an optimized crystal structure of NdGe2Pt.

Cell: 4.383 8.753 9.560 Å, 117.24 103.25 90.00°
Atoms (fractional coordinates):
Nd: 0.203 0.203 0.406
Nd: 0.797 0.797 0.594
Nd: 0.000 0.756 0.000
Nd: 0.000 0.244 0.000
Ge: 0.802 0.151 0.603
Ge: 0.574 0.074 0.148
Ge: 0.802 0.452 0.603
Ge: 0.198 0.548 0.397
Ge: 0.426 0.926 0.852
Ge: 0.575 0.575 0.149
Ge: 0.425 0.425 0.851
Ge: 0.198 0.849 0.397
Pt: 0.649 0.401 0.298
Pt: 0.351 0.102 0.702
Pt: 0.649 0.898 0.298
Pt: 0.351 0.599 0.702

Space-group type   No. 71



No. 4
DFT (GGA-PBEsol) results for an optimized crystal structure of Nd4Ge3Rh4.

Cell: 5.621 7.898 10.835 Å, 109.00 105.03 90.00°
Atoms (fractional coordinates):
Ge: 0.052 0.057 0.343
Ge: 0.354 0.750 0.000
Ge: 0.646 0.250 0.000
Ge: 0.709 0.443 0.657
Ge: 0.948 0.943 0.657
Ge: 0.291 0.557 0.343
Rh: 0.372 0.314 0.443
Rh: 0.572 0.482 0.876
Rh: 0.304 0.982 0.876
Rh: 0.071 0.814 0.443
Rh: 0.628 0.686 0.557
Rh: 0.929 0.186 0.557
Rh: 0.696 0.018 0.124
Rh: 0.428 0.518 0.124
Nd: 0.787 0.831 0.866
Nd: 0.920 0.669 0.134
Nd: 0.554 0.899 0.341
Nd: 0.080 0.331 0.866
Nd: 0.787 0.399 0.341
Nd: 0.446 0.101 0.659
Nd: 0.213 0.169 0.134
Nd: 0.213 0.601 0.659

Space-group type   No. 15



| no. | E_form (meV per atom) |
| --- | --- |
| 1 | -955 |
| 2 | -1037 |
| 3 | -949 |
| 4 | -886 |